[1]
SrMg2CoGe2 GGA-PBE optimized geometry; raw total energy = -3.51 eV/atom; magnetic moment = 0.285 μB/atom
1.0
4.0509 0.0000 0.0000
0.0000 4.0509 0.0000
0.0000 0.0000 8.2354
Sr Mg Co Ge
1 2 1 2
Cartesian
0.0000 0.0000 0.0000
0.0000 2.0255 4.9915
2.0255 0.0000 4.9915
2.0255 2.0255 3.0857
0.0000 0.0000 3.0653
2.0255 2.0255 6.8307

---

[2]
DyHoFe2Ge4 GGA-PBE optimized geometry; raw total energy = -6.00 eV/atom; magnetic moment = 0.093 μB/atom
1.0
4.1667 0.0000 0.0000
0.0000 4.1424 0.0000
0.0000 0.0000 16.6515
Dy Ho Fe Ge
2 2 4 8
Cartesian
0.0000 0.0000 0.0000
0.0000 2.0712 8.3258
2.0834 0.0000 3.6414
2.0834 2.0712 11.9672
0.0000 0.0000 13.1508
0.0000 2.0712 4.8250
2.0834 0.0000 7.1377
2.0834 2.0712 15.4635
0.0000 0.0000 5.9896
0.0000 0.0000 10.8935
0.0000 2.0712 2.5677
0.0000 2.0712 14.3154
2.0834 0.0000 9.3989
2.0834 0.0000 14.2969
2.0834 2.0712 1.0732
2.0834 2.0712 5.9711

---

[3]
La2SiNi2Ge GGA-PBE optimized geometry; polymorph energy (0 for the lowest one) = 0.000 eV/atom; magnetic moment = 0.009 μB/atom
1.0
4.1286 0.0000 0.0000
-2.0643 3.5754 0.0000
0.0000 0.0000 8.5177
La Si Ni Ge
2 1 2 1
Cartesian
0.0000 0.0000 2.1047
0.0000 0.0000 6.4130
2.0643 1.1918 0.0000
0.0000 2.3836 0.0000
2.0643 1.1918 4.2589
0.0000 2.3836 4.2589

---

[4]
HoSnGe GGA-PBE optimized geometry; raw total energy = -4.85 eV/atom; magnetic moment = 0.002 μB/atom
1.0
7.7721 0.0000 0.0000
-3.8861 6.7308 0.0000
0.0000 0.0000 4.1300
Ho Sn Ge
3 3 3
Cartesian
-2.3730 4.1101 0.0000
1.5131 2.6208 0.0000
4.7459 0.0000 0.0000
-1.0547 1.8268 2.0650
2.1094 0.0000 2.0650
2.8314 4.9040 2.0650
0.0000 0.0000 0.0000
0.0000 4.4872 2.0650
3.8861 2.2436 2.0650

---

[5]
GdMgZn GGA-PBE optimized geometry; raw total energy = -2.64 eV/atom; magnetic moment = 0.000 μB/atom
1.0
6.0461 0.0000 0.0000
-3.0060 5.5342 0.0000
-0.8220 -0.5695 8.2401
Gd Mg Zn
4 4 4
Cartesian
0.0000 0.0000 0.0000
-1.7746 2.2709 6.1852
0.7618 3.3644 1.3553
0.4911 4.5384 5.0727
-2.5038 3.7770 3.2966
-0.7640 1.0806 3.1821
2.2752 0.4809 2.3000
3.8668 2.3600 0.7626
0.4212 -0.1095 5.5496
2.1503 -0.4459 7.6525
1.1863 2.0359 6.9876
1.7333 1.9047 4.4510

---

[6]
HoTlCdTe3 GGA-PBE optimized geometry; polymorph energy (0 for the lowest one) = 0.062 eV/atom; magnetic moment = 0.000 μB/atom
1.0
12.9905 0.0000 0.0000
0.0000 4.5359 0.0000
0.0000 0.0000 13.5632
Ho Tl Cd Te
4 4 4 12
Cartesian
0.3917 1.1340 2.3877
6.1035 3.4019 9.1693
6.8870 1.1340 4.3939
12.5987 3.4019 11.1755
2.1732 1.1340 6.6696
4.3220 3.4019 13.4511
8.6684 1.1340 0.1120
10.8173 3.4019 6.8936
3.2165 3.4019 4.0378
3.2788 1.1340 10.8194
9.7117 3.4019 2.7437
9.7740 1.1340 9.5253
0.4032 3.4019 4.5861
1.1429 1.1340 12.6675
3.0535 3.4019 9.0846
3.4418 1.1340 2.3030
5.3524 3.4019 5.8859
6.0920 1.1340 11.3676
6.8985 3.4019 2.1955
7.6381 1.1340 7.6773
9.5487 3.4019 11.2602
9.9370 1.1340 4.4786
11.8476 3.4019 0.8957
12.5872 1.1340 8.9771

---

[7]
Zr4Ta2Cd3N3 GGA-PBE optimized geometry; raw total energy = -7.93 eV/atom; magnetic moment = 0.000 μB/atom
1.0
4.8656 -2.8118 0.0000
4.8656 2.8118 0.0000
-3.2527 0.0000 14.6816
Zr Ta Cd N
8 4 6 6
Cartesian
0.8151 0.4412 1.2862
0.7811 0.4816 6.0530
-0.8113 -0.4412 8.6270
-0.8452 -0.4816 13.3938
7.3238 0.4816 1.2878
7.2898 0.4412 6.0547
5.6974 -0.4816 8.6286
5.6634 -0.4412 13.3955
4.0305 0.4821 1.0814
4.0744 0.4821 6.2594
2.4041 -0.4821 8.4222
2.4480 -0.4821 13.6002
4.0524 2.1843 3.6704
0.9368 0.3940 11.0314
2.5632 -0.3940 3.6906
3.9154 0.3940 10.9910
5.5417 -0.3940 3.6502
2.4261 -2.1843 11.0112
2.4328 1.4059 0.0000
2.4418 1.3851 7.3408
5.6631 1.3851 0.0000
0.8064 -1.4059 7.3408
4.0682 -1.3851 0.0000
4.0367 -1.3851 7.3408

---

[8]
HoCuBi GGA-PBE optimized geometry; raw total energy = -4.43 eV/atom; magnetic moment = 0.000 μB/atom
1.0
6.3929 0.0000 0.0000
0.0000 4.3793 0.0000
-0.3936 0.0000 10.5202
Ho Cu Bi
4 4 4
Cartesian
-0.0999 0.0000 3.5014
1.0977 2.1896 9.6607
4.9016 2.1896 0.8595
6.0992 0.0000 7.0188
0.7600 0.0000 0.8955
1.3573 2.1896 2.0665
4.6420 2.1896 8.4537
5.2393 0.0000 9.6247
1.4347 2.1896 5.3471
3.0690 0.0000 2.4043
2.9303 0.0000 8.1158
4.5646 2.1896 5.1731

---

[9]
ScNbSnC GGA-PBE optimized geometry; polymorph energy (0 for the lowest one) = 0.012 eV/atom; magnetic moment = 0.001 μB/atom
1.0
3.2707 0.0000 0.0000
-1.6354 2.8325 0.0000
0.0000 0.0000 14.4891
Sc Nb Sn C
2 2 2 2
Cartesian
0.0000 0.0000 2.4861
0.0000 0.0000 12.0030
0.0000 1.8884 4.9226
0.0000 1.8884 9.5665
0.0000 0.0000 7.2445
0.0000 1.8884 0.0000
1.6354 0.9442 3.7391
1.6354 0.9442 10.7500

---

[10]
Ta2NbB GGA-PBE optimized geometry; raw total energy = -9.62 eV/atom; magnetic moment = 0.001 μB/atom
1.0
6.2853 0.0000 0.0000
0.0000 6.2853 0.0000
0.0000 0.0000 6.2853
Ta Nb B
8 4 4
Cartesian
0.0000 0.0000 0.0000
0.0000 3.1426 3.1426
1.5713 1.5713 1.5713
1.5713 4.7139 4.7139
3.1426 0.0000 3.1426
3.1426 3.1426 0.0000
4.7139 1.5713 4.7139
4.7139 4.7139 1.5713
1.5713 1.5713 4.7139
1.5713 4.7139 1.5713
4.7139 1.5713 1.5713
4.7139 4.7139 4.7139
0.0000 0.0000 3.1426
0.0000 3.1426 0.0000
3.1426 0.0000 0.0000
3.1426 3.1426 3.1426

---

[11]
KTaGe GGA-PBE optimized geometry; polymorph energy (0 for the lowest one) = 0.000 eV/atom; magnetic moment = 0.667 μB/atom
1.0
6.8075 0.0000 0.0000
0.0000 6.8075 0.0000
0.0000 0.0000 6.8075
K Ta Ge
4 4 4
Cartesian
0.0000 0.0000 0.0000
0.0000 3.4037 3.4037
3.4037 0.0000 3.4037
3.4037 3.4037 0.0000
0.0000 0.0000 3.4037
0.0000 3.4037 0.0000
3.4037 0.0000 0.0000
3.4037 3.4037 3.4037
1.7019 1.7019 1.7019
1.7019 5.1056 5.1056
5.1056 1.7019 5.1056
5.1056 5.1056 1.7019

---

[12]
NbNiGePt GGA-PBE optimized geometry; polymorph energy (0 for the lowest one) = 0.112 eV/atom; magnetic moment = 0.000 μB/atom
1.0
6.2459 0.0000 0.0000
0.0000 6.2459 0.0000
0.0000 0.0000 6.2459
Nb Ni Ge Pt
4 4 4 4
Cartesian
0.0000 0.0000 0.0000
0.0000 3.1230 3.1230
3.1230 0.0000 3.1230
3.1230 3.1230 0.0000
1.5615 1.5615 4.6844
1.5615 4.6844 1.5615
4.6844 1.5615 1.5615
4.6844 4.6844 4.6844
0.0000 0.0000 3.1230
0.0000 3.1230 0.0000
3.1230 0.0000 0.0000
3.1230 3.1230 3.1230
1.5615 1.5615 1.5615
1.5615 4.6844 4.6844
4.6844 1.5615 4.6844
4.6844 4.6844 1.5615

---

[13]
NbNiPd GGA-PBE optimized geometry; formation enthalpy at 0 K = 0.14 eV/atom; polymorph energy (0 for the lowest one) = 0.000 eV/atom; magnetic moment = 0.094 μB/atom
1.0
5.8293 0.0000 0.0000
0.0000 5.8293 0.0000
0.0000 0.0000 5.8293
Nb Ni Pd
4 4 4
Cartesian
0.0000 0.0000 0.0000
0.0000 2.9146 2.9146
2.9146 0.0000 2.9146
2.9146 2.9146 0.0000
1.4573 1.4573 1.4573
1.4573 4.3720 4.3720
4.3720 1.4573 4.3720
4.3720 4.3720 1.4573
0.0000 0.0000 2.9146
0.0000 2.9146 0.0000
2.9146 0.0000 0.0000
2.9146 2.9146 2.9146

---

[14]
YNpPd GGA-PBE optimized geometry; formation enthalpy at 0 K = 0.06 eV/atom; polymorph energy (0 for the lowest one) = 0.000 eV/atom; magnetic moment = 1.778 μB/atom
1.0
6.8180 0.0000 0.0000
0.0000 6.8180 0.0000
0.0000 0.0000 6.8180
Y Np Pd
4 4 4
Cartesian
0.0000 0.0000 0.0000
0.0000 3.4090 3.4090
3.4090 0.0000 3.4090
3.4090 3.4090 0.0000
0.0000 0.0000 3.4090
0.0000 3.4090 0.0000
3.4090 0.0000 0.0000
3.4090 3.4090 3.4090
1.7045 1.7045 5.1135
1.7045 5.1135 1.7045
5.1135 1.7045 1.7045
5.1135 5.1135 5.1135

---

[15]
SmDyAsO GGA-PBE optimized geometry; polymorph energy (0 for the lowest one) = 0.000 eV/atom; magnetic moment = 0.002 μB/atom
1.0
4.2471 0.0000 0.0000
0.0000 7.6239 0.0000
0.0000 0.0000 6.0273
Sm Dy As O
2 2 2 2
Cartesian
0.0000 1.5708 0.0000
0.0000 6.0530 3.0137
2.1236 2.9763 3.4803
2.1236 4.6476 0.4666
0.0000 1.2940 2.9638
0.0000 6.3298 5.9775
2.1236 2.5532 5.6552
2.1236 5.0707 2.6416

---

[16]
Fe6CoPt GGA-PBE optimized geometry; formation enthalpy at 0 K = -0.06 eV/atom; magnetic moment = 2.270 μB/atom
1.0
4.0863 0.0000 0.0000
0.0000 4.0863 0.0000
0.0000 0.0000 5.7975
Fe Co Pt
6 1 1
Cartesian
0.0000 0.0000 0.0000
0.0000 2.0432 1.3705
0.0000 2.0432 4.4270
2.0432 0.0000 1.3705
2.0432 0.0000 4.4270
2.0432 2.0432 2.8987
2.0432 2.0432 0.0000
0.0000 0.0000 2.8987

---

[17]
Li2AlAg GGA-PBE optimized geometry; raw total energy = -2.84 eV/atom
1.0
4.4223 0.0000 0.0000
0.0000 4.4223 0.0000
0.0000 0.0000 6.2294
Li Al Ag
4 2 2
Cartesian
0.0000 0.0000 0.0000
0.0000 2.2111 1.5573
2.2111 0.0000 4.6720
2.2111 2.2111 3.1147
0.0000 0.0000 3.1147
2.2111 2.2111 0.0000
0.0000 2.2111 4.6720
2.2111 0.0000 1.5573

---

[18]
LiLu2Co GGA-PBE optimized geometry; raw total energy = -4.21 eV/atom; magnetic moment = 0.001 μB/atom
1.0
6.6452 0.0000 0.0000
0.0000 6.6452 0.0000
0.0000 0.0000 6.6452
Li Lu Co
4 8 4
Cartesian
0.0000 0.0000 0.0000
0.0000 3.3226 3.3226
3.3226 0.0000 3.3226
3.3226 3.3226 0.0000
0.0000 0.0000 3.3226
0.0000 3.3226 0.0000
1.6613 1.6613 4.9839
1.6613 4.9839 1.6613
3.3226 0.0000 0.0000
3.3226 3.3226 3.3226
4.9839 1.6613 1.6613
4.9839 4.9839 4.9839
1.6613 1.6613 1.6613
1.6613 4.9839 4.9839
4.9839 1.6613 4.9839
4.9839 4.9839 1.6613